Entry 1:
Tb2Pr4Nd | Alexandria via LeMat-Bulk | PBE | relaxed; calculated formation energy = 640 meV per atom; SG = I4/mmm (139)
1.0
-2.907 2.907 8.476
2.907 -2.907 8.476
2.907 2.907 -8.476
Tb Pr Nd
2 4 1
direct
0.110 0.110 0.000
0.890 0.890 0.000
0.000 0.500 0.500
0.314 0.314 0.000
0.500 0.000 0.500
0.686 0.686 0.000
0.500 0.500 0.000

Entry 2:
Tb7Pr4Nd | Alexandria via LeMat-Bulk | PBE | relaxed; calculated formation energy = 84 meV per atom; SG = P-1 (2)
1.0
6.633 0.000 0.000
0.969 6.869 0.000
2.028 0.499 8.939
Tb Pr Nd
7 4 1
direct
0.000 0.000 0.000
0.188 0.604 0.383
0.319 0.199 0.642
0.487 0.750 0.050
0.513 0.250 0.950
0.681 0.801 0.358
0.812 0.396 0.617
0.164 0.111 0.310
0.360 0.693 0.716
0.640 0.307 0.284
0.836 0.889 0.690
0.000 0.500 0.000

Entry 3:
TbPrNd | Alexandria via LeMat-Bulk | PBE | relaxed; calculated formation energy = 20 meV per atom; SG = I4mm (107)
1.0
-1.829 1.829 7.746
1.829 -1.829 7.746
1.829 1.829 -7.746
Tb Pr Nd
1 1 1
direct
0.000 0.000 0.000
0.335 0.335 0.000
0.664 0.664 0.000

Entry 4:
Tb2PrNd | Alexandria via LeMat-Bulk | PBE | relaxed; calculated formation energy = 18 meV per atom; SG = P4/mmm (123)
1.0
3.635 0.000 0.000
0.000 3.635 0.000
0.000 0.000 10.235
Tb Pr Nd
2 1 1
direct
0.000 0.000 0.249
0.000 0.000 0.751
0.500 0.500 0.500
0.500 0.500 0.000

Number 1: ΔE to the lowest computed polymorph 578 meV/atom. Number 2: ΔE to the lowest computed polymorph 0 meV/atom. Number 3: ΔE to the lowest computed polymorph 0 meV/atom. Number 4: ΔE to the lowest computed polymorph 7 meV/atom.